(1)
DFT (PBE) results for Pr2FeGe4 after structural relaxation.

Lattice parameters (Å, degrees): 4.2611 4.3335 16.2257 90.00 90.00 90.00
With the nearest neighbours (Å) after each atom.
Space group Amm2 (No. 38)
One atom of each set of equivalent atoms:
Pr  0.0000  0.0000  0.0000 x2  10 Ge 3.15-3.30, 1 Fe 3.26
Pr  0.5000  0.0000  0.2069 x2  10 Ge 3.16-3.34, 4 Fe 3.39
Fe  0.0000  0.0000  0.7991 x2  5 Ge 2.33-2.37
Ge  0.0000  0.0000  0.3579 x2  2 Fe 2.37
Ge  0.0000  0.0000  0.6532 x2  1 Fe 2.37
Ge  0.5000  0.0000  0.5503 x2  2 Ge 2.71
Ge  0.5000  0.0000  0.8566 x2  2 Fe 2.33

As for the crystal system: orthorhombic. The value obtained for the calculated formation energy is -0.589 eV/atom. The density of states at the Fermi level is 0.582 states/eV per atom.

=====

(2)
DFT (PBE) results for PrFe2Ge2 after structural relaxation.

Lattice parameters (Å, degrees): 4.0470 4.0470 10.8043 90.00 90.00 90.00
With the nearest neighbours (Å) after each atom.
Space group I4/mmm (No. 139)
One atom of each set of equivalent atoms:
Pr  0.0000  0.0000  0.0000 x2  8 Ge 3.15, 8 Fe 3.37
Fe  0.0000  0.5000  0.2500 x4  4 Ge 2.45
Ge  0.0000  0.0000  0.3780 x4  4 Fe 2.45, 1 Ge 2.64

As for the crystal system: tetragonal. The value obtained for the calculated formation energy is -0.426 eV/atom. The density of states at the Fermi level is 0.767 states/eV per atom.

=====

(3)
DFT (PBE) results for PrFe2Ge7 after structural relaxation.

Lattice parameters (Å, degrees): 7.9759 12.7100 4.0637 90.00 90.00 90.00
With the nearest neighbours (Å) after each atom.
Space group Cmmm (No. 65)
One atom of each set of equivalent atoms:
Pr  0.0000  0.0000  0.0000 x2  10 Ge 3.06-3.21
Fe  0.0000  0.3234  0.5000 x4  5 Ge 2.24-2.40
Ge  0.0000  0.2408  0.0000 x4  2 Fe 2.29
Ge  0.0000  0.5000  0.5000 x2  2 Fe 2.24
Ge  0.2024  0.1486  0.5000 x8  1 Fe 2.40, 1 Ge 2.69

As for the crystal system: orthorhombic. The value obtained for the calculated formation energy is 0.048 eV/atom. The density of states at the Fermi level is 0.589 states/eV per atom.

=====

(4)
DFT (PBE) results for PrFe6Ge6 after structural relaxation.

Lattice parameters (Å, degrees): 5.1584 8.2380 8.9244 90.00 90.00 90.00
With the nearest neighbours (Å) after each atom.
Space group Immm (No. 71)
One atom of each set of equivalent atoms:
Pr  0.0000  0.0000  0.0000 x2  8 Ge 2.88-3.03
Fe  0.0000  0.2480  0.5000 x4  6 Ge 2.49-2.70, 4 Fe 2.58
Fe  0.2500  0.2500  0.2500 x8  6 Ge 2.52-2.70, 4 Fe 2.58
Ge  0.0000  0.0000  0.3399 x4  6 Fe 2.49-2.56
Ge  0.0000  0.3495  0.0000 x4  1 Ge 2.48, 6 Fe 2.70
Ge  0.0000  0.5000  0.3251 x4  6 Fe 2.52-2.60

As for the crystal system: orthorhombic. The value obtained for the calculated formation energy is -0.238 eV/atom. The density of states at the Fermi level is 0.621 states/eV per atom.

=====

no.,volume (Å³ per cell)
1,300
2,177
3,412
4,379